No. 1
MgSiOs2 (GGA-PBE, optimized geometry); total magnetic moment = 0.0 μB/f.u.; symmetry = Cm, No. 8; Fermi-level density of states = 2.45 states/eV/cell; uncorrected formation energy = 0.1 eV per formula unit
1.0
-4.2094 1.9158 -1.6087
-4.8527 -0.5751 -0.3127
-1.9284 2.2467 3.3608
Os Si Mg
2 1 1
direct
0.2544 0.2544 0.3131
0.9879 0.9879 0.9418
0.5156 0.5156 0.4368
0.7422 0.7422 0.8084

=====

No. 2
ThCu4Pt (GGA-PBE, optimized geometry); total magnetic moment = 0.0 μB/f.u.; symmetry = F-43m, No. 216; Fermi-level density of states = 3.72 states/eV/cell; ΔH_f (0 K) = -0.399 eV/atom
1.0
-0.2015 1.5832 -4.8299
-0.0406 -3.3933 -3.7892
-4.2304 -0.7085 -2.7344
Cu Pt Th
4 1 1
direct
0.1202 0.6266 0.6266
0.6266 0.6266 0.1202
0.6266 0.6266 0.6266
0.6266 0.1202 0.6266
0.0000 0.0000 0.0000
0.2500 0.2500 0.2500